Entry from Alexandria via LeMat-Bulk: a relaxed structure of Ho2Ga4Pt3 (GGA-PBE).

Output
E_form, meV/atom: -794.5
Energy, eV per atom: -5.171

Lattice parameters (Å, degrees): 5.504 5.504 6.967 101.26 101.26 120.38
Fractional coordinates of all 9 atoms:
Ho 0.373 0.373 0.747
Pt 0.000 0.500 0.000
Ga 0.000 0.335 0.335
Ho 0.627 0.627 0.253
Ga 0.665 0.000 0.665
Ga 0.335 0.000 0.335
Ga 0.000 0.665 0.665
Pt 0.500 0.000 0.000
Pt 0.000 0.000 0.000